No. 1
# PPbCl2 | Alexandria | PBE | optimized geometry
data_PPbCl2
_space_group_name_H-M_alt 'C 1 2/m 1'
_space_group_IT_number 12
_cell_length_a 10.9863
_cell_length_b 3.3740
_cell_length_c 5.7677
_cell_angle_alpha 90.00
_cell_angle_beta 121.50
_cell_angle_gamma 90.00
loop_
_space_group_symop_operation_xyz
'x,y,z'
'-x,-y,-z'
'-x,y,-z'
'x,-y,z'
'x+1/2,y+1/2,z'
'-x+1/2,-y+1/2,-z'
'-x+1/2,y+1/2,-z'
'x+1/2,-y+1/2,z'
loop_
_atom_site_label
_atom_site_fract_x
_atom_site_fract_y
_atom_site_fract_z
P1 0.0000 0.0000 0.0000
Pb1 0.0000 0.5000 0.5000
Cl1 0.2209 0.5000 0.2210
# relative energy among the computed polymorphs	0.331	eV/atom



No. 2
LiLa2SiRh6 | PBE | optimized geometry

```
data_LiLa2SiRh6
_space_group_name_H-M_alt 'I m m m'
_space_group_IT_number 71
_space_group_name_Hall '-I 2 2'
_cell_length_a 6.2882
_cell_length_b 6.3034
_cell_length_c 8.9068
_cell_angle_alpha 90.00
_cell_angle_beta 90.00
_cell_angle_gamma 90.00
loop_
_atom_site_label
_atom_site_fract_x
_atom_site_fract_y
_atom_site_fract_z
Li1 0.0000 0.0000 0.0000
La1 0.0000 0.5000 0.2503
Si1 0.0000 0.0000 0.5000
Rh1 0.0000 0.0000 0.2469
Rh2 0.2464 0.2474 0.0000
```



No. 3
# CrRe4P | Alexandria | PBE | optimized geometry
data_CrRe4P
_space_group_name_H-M_alt 'F -4 3 m'
_space_group_IT_number 216
_space_group_name_Hall 'F -4 2 3'
_cell_length_a 7.3109
_cell_length_b 7.3109
_cell_length_c 7.3109
_cell_angle_alpha 90.00
_cell_angle_beta 90.00
_cell_angle_gamma 90.00
loop_
_atom_site_label
_atom_site_fract_x
_atom_site_fract_y
_atom_site_fract_z
Cr1 0.0000 0.0000 0.0000
Re1 0.1248 0.1248 0.3752
P1 0.2500 0.2500 0.7500
# E_form	0.8010	eV per atom



| no. | theoretical density (g/cm3) | VASP energy (eV per formula unit) |
| --- | --- | --- |
| 1 | 5.63 | -13.00 |
| 2 | 8.75 | -65.67 |
| 3 | 14.07 | -60.02 |